The following is a DFT calculation (GGA-PBE) of an optimized crystal structure of AlIn2Tc.

```
AlIn2Tc
1.0
-2.787 1.669 -1.085
-0.796 -2.645 -2.024
-3.435 -2.626 4.781
Tc In Al
1 2 1
direct
0.000 0.000 0.543 Tc
0.500 0.500 0.277 In
0.000 0.000 0.979 In
0.500 0.500 0.701 Al
```

Summary:
**ΔE_f**: 0.07 eV per atom
**N(E_F)**: 1.28 states/eV/f.u.
**Theoretical density**: 7.8 g/cm3
**Size of the total moment**: 0.0 μB per cell